# MnAl5Rh4 (PBE, optimized geometry)
# DFT formation energy in eV per atom: -0.9182
# Calculated volume in Å³/cell: 133.6
data_MnAl5Rh4
_cell_length_a 2.9832
_cell_length_b 2.9832
_cell_length_c 15.0106
_cell_angle_alpha 90.00
_cell_angle_beta 90.00
_cell_angle_gamma 90.00
_space_group_name_H-M_alt 'P 4/m m m'
_space_group_IT_number 123
_space_group_name_Hall '-P 4 2'
loop_
_atom_site_label
_atom_site_type_symbol
_atom_site_fract_x
_atom_site_fract_y
_atom_site_fract_z
_atom_site_occupancy
Mn1 Mn 0.0000 0.0000 0.0000 1
Al1 Al 0.5000 0.5000 0.0961 1
Al2 Al 0.5000 0.5000 0.2981 1
Al3 Al 0.5000 0.5000 0.5000 1
Rh1 Rh 0.0000 0.0000 0.1988 1
Rh2 Rh 0.0000 0.0000 0.3997 1